# KTe3Pd

A geometry-optimized KTe3Pd structure (PBE, Alexandria).

The structure in POSCAR format:
```
KTe3Pd
1.0
5.9418 0.0000 0.0000
0.0000 5.9418 0.0000
0.0000 0.0000 5.9418
K Te Pd
1 3 1
direct
0.0000 0.0000 0.0000
0.0000 0.0000 0.5000
0.0000 0.5000 0.0000
0.5000 0.0000 0.0000
0.5000 0.5000 0.5000
```

## Properties
**Volume**: 209.8 Å³ per cell
**Energy above the most stable polymorph in this dataset**: 1572.4 meV/atom
**Density**: 4.18 g cm⁻³
**Uncorrected formation energy**: 1181 meV per atom
**SG**: Pm-3m